Entry w
{"formula": "LiNdAlPt", "functional": "GGA-PBE", "state": "relaxed", "lattice_angstrom": [[0.0000, 3.3713, 3.3713], [3.3713, 0.0000, 3.3713], [3.3713, 3.3713, 0.0000]], "species": ["Li", "Nd", "Al", "Pt"], "frac_coords": [[0.0000, 0.0000, 0.0000], [0.2500, 0.2500, 0.2500], [0.7500, 0.7500, 0.7500], [0.5000, 0.5000, 0.5000]]}



Entry x
{"formula": "LiNdAlPt", "functional": "GGA-PBE", "state": "relaxed", "lattice_angstrom": [[4.0753, 0.0000, 0.0000], [0.0000, 1.8444, 5.5192], [0.0000, -1.8444, 5.5192]], "species": ["Li", "Nd", "Al", "Pt"], "frac_coords": [[0.0000, 0.0000, 0.0000], [0.0000, 0.7402, 0.7402], [0.5000, 0.4556, 0.4556], [0.5000, 0.1252, 0.1252]]}



So which one wins? Going from most stable to least: entry w, entry x.



Entry w
{"formula": "LiAlNi4", "functional": "GGA-PBE", "state": "relaxed", "lattice_angstrom": [[4.2086, -1.2815, 0.0000], [4.2086, 1.2815, 0.0000], [-2.9207, 0.0000, 6.3650]], "species": ["Li", "Al", "Ni", "Ni", "Ni", "Ni"], "frac_coords": [[0.0000, 0.0000, 0.0000], [0.0000, 0.0000, 0.5000], [0.3269, 0.3269, 0.1686], [0.3366, 0.3366, 0.6635], [0.6634, 0.6634, 0.3365], [0.6731, 0.6731, 0.8314]]}



Entry x
{"formula": "LiAlNi4", "functional": "GGA-PBE", "state": "relaxed", "lattice_angstrom": [[0.0000, 3.3211, 3.3211], [3.3211, 0.0000, 3.3211], [3.3211, 3.3211, 0.0000]], "species": ["Li", "Al", "Ni", "Ni", "Ni", "Ni"], "frac_coords": [[0.0000, 0.0000, 0.0000], [0.2500, 0.2500, 0.2500], [0.1254, 0.6249, 0.6249], [0.6249, 0.1254, 0.6249], [0.6249, 0.6249, 0.1254], [0.6249, 0.6249, 0.6249]]}



So which one wins? Going from most stable to least: entry w, entry x.



Entry w
{"formula": "LiAl2Ni2", "functional": "GGA-PBE", "state": "relaxed", "lattice_angstrom": [[-1.9260, 1.9260, 5.1129], [1.9260, -1.9260, 5.1129], [1.9260, 1.9260, -5.1129]], "species": ["Li", "Al", "Al", "Ni", "Ni"], "frac_coords": [[0.0000, 0.0000, 0.0000], [0.2500, 0.7500, 0.5000], [0.7500, 0.2500, 0.5000], [0.3895, 0.3895, 0.0000], [0.6105, 0.6105, 0.0000]]}



Entry x
{"formula": "LiAl2Ni2", "functional": "GGA-PBE", "state": "relaxed", "lattice_angstrom": [[7.0064, 0.0000, 0.0000], [0.0000, 7.0064, 0.0000], [0.0000, 0.0000, 2.6912]], "species": ["Li", "Li", "Al", "Al", "Al", "Al", "Ni", "Ni", "Ni", "Ni"], "frac_coords": [[0.0000, 0.0000, 0.0000], [0.5000, 0.5000, 0.0000], [0.1535, 0.3465, 0.5000], [0.3465, 0.8465, 0.5000], [0.6535, 0.1535, 0.5000], [0.8465, 0.6535, 0.5000], [0.1418, 0.6418, 0.0000], [0.3582, 0.1418, 0.0000], [0.6418, 0.8582, 0.0000], [0.8582, 0.3582, 0.0000]]}



So which one wins? Going from most stable to least: entry x, entry w.



Entry w
{"formula": "LiAl2Ni2", "functional": "GGA-PBE", "state": "relaxed", "lattice_angstrom": [[7.0281, 0.0000, 0.0000], [0.0000, 7.0281, 0.0000], [0.0000, 0.0000, 2.6782]], "species": ["Li", "Li", "Al", "Al", "Al", "Al", "Ni", "Ni", "Ni", "Ni"], "frac_coords": [[0.0000, 0.0000, 0.0000], [0.5000, 0.5000, 0.0000], [0.1428, 0.3572, 0.0000], [0.3572, 0.8572, 0.0000], [0.6428, 0.1428, 0.0000], [0.8572, 0.6428, 0.0000], [0.1527, 0.6527, 0.5000], [0.3473, 0.1527, 0.5000], [0.6527, 0.8473, 0.5000], [0.8473, 0.3473, 0.5000]]}



Entry x
{"formula": "LiAl2Ni2", "functional": "GGA-PBE", "state": "relaxed", "lattice_angstrom": [[-1.8265, 1.8265, 5.6575], [1.8265, -1.8265, 5.6575], [1.8265, 1.8265, -5.6575]], "species": ["Li", "Al", "Al", "Ni", "Ni"], "frac_coords": [[0.0000, 0.0000, 0.0000], [0.3833, 0.3833, 0.0000], [0.6167, 0.6167, 0.0000], [0.2500, 0.7500, 0.5000], [0.7500, 0.2500, 0.5000]]}



So which one wins? Going from most stable to least: entry w, entry x.



Entry w
{"formula": "LiAl2Ni3", "functional": "GGA-PBE", "state": "relaxed", "lattice_angstrom": [[2.8285, 0.0000, 0.0000], [0.0000, 2.8285, 0.0000], [0.0000, 0.0000, 8.8880]], "species": ["Li", "Al", "Al", "Ni", "Ni", "Ni"], "frac_coords": [[0.0000, 0.0000, 0.0000], [0.0000, 0.0000, 0.3288], [0.0000, 0.0000, 0.6712], [0.5000, 0.5000, 0.1694], [0.5000, 0.5000, 0.5000], [0.5000, 0.5000, 0.8306]]}



Entry x
{"formula": "LiAl2Ni3", "functional": "GGA-PBE", "state": "relaxed", "lattice_angstrom": [[5.0259, 0.0000, 0.0000], [-2.5130, 4.3526, 0.0000], [0.0000, 0.0000, 3.9171]], "species": ["Li", "Al", "Al", "Ni", "Ni", "Ni"], "frac_coords": [[0.0000, 0.0000, 0.0000], [0.3333, 0.6667, 0.5000], [0.6667, 0.3333, 0.5000], [0.0000, 0.5000, 0.0000], [0.5000, 0.0000, 0.0000], [0.5000, 0.5000, 0.0000]]}



So which one wins? Going from most stable to least: entry w, entry x.



Entry w
{"formula": "LiAl3Ni", "functional": "GGA-PBE", "state": "relaxed", "lattice_angstrom": [[8.0999, 0.0000, 0.0000], [0.0000, 3.7399, 0.0000], [0.0000, 0.0000, 10.7388]], "species": ["Li", "Li", "Li", "Li", "Al", "Al", "Al", "Al", "Al", "Al", "Al", "Al", "Al", "Al", "Al", "Al", "Ni", "Ni", "Ni", "Ni"], "frac_coords": [[0.1745, 0.2500, 0.0092], [0.3255, 0.7500, 0.5092], [0.6745, 0.2500, 0.4908], [0.8255, 0.7500, 0.9908], [0.0500, 0.2500, 0.4160], [0.0829, 0.7500, 0.2131], [0.1729, 0.7500, 0.7775], [0.3271, 0.2500, 0.2775], [0.4171, 0.2500, 0.7131], [0.4500, 0.7500, 0.9160], [0.5500, 0.2500, 0.0840], [0.5829, 0.7500, 0.2869], [0.6729, 0.7500, 0.7225], [0.8271, 0.2500, 0.2225], [0.9171, 0.2500, 0.7869], [0.9500, 0.7500, 0.5840], [0.1384, 0.2500, 0.6353], [0.3616, 0.7500, 0.1353], [0.6384, 0.2500, 0.8647], [0.8616, 0.7500, 0.3647]]}



Entry x
{"formula": "LiAl3Ni", "functional": "GGA-PBE", "state": "relaxed", "lattice_angstrom": [[-2.0692, 5.8906, 6.2165], [2.0692, -5.8906, 6.2165], [2.0692, 5.8906, -6.2165]], "species": ["Li", "Li", "Li", "Li", "Al", "Al", "Al", "Al", "Al", "Al", "Al", "Al", "Al", "Al", "Al", "Al", "Ni", "Ni", "Ni", "Ni"], "frac_coords": [[0.1783, 0.1756, 0.0027], [0.3271, 0.8244, 0.5027], [0.6729, 0.1756, 0.4973], [0.8217, 0.8244, 0.9973], [0.0285, 0.6622, 0.3663], [0.1207, 0.9946, 0.1262], [0.2041, 0.3378, 0.8663], [0.2973, 0.6624, 0.6349], [0.3684, 0.9946, 0.3738], [0.4724, 0.3376, 0.1349], [0.5276, 0.6624, 0.8651], [0.6316, 0.0054, 0.6262], [0.7027, 0.3376, 0.3651], [0.7959, 0.6622, 0.1337], [0.8793, 0.0054, 0.8738], [0.9715, 0.3378, 0.6337], [0.2478, 0.4978, 0.7500], [0.4037, 0.1537, 0.2500], [0.5963, 0.8463, 0.7500], [0.7522, 0.5022, 0.2500]]}



Entry y
{"formula": "LiAl3Ni", "functional": "GGA-PBE", "state": "relaxed", "lattice_angstrom": [[4.2692, 0.0000, 0.0000], [0.0000, 4.2692, 0.0000], [0.0000, 0.0000, 4.2692]], "species": ["Li", "Al", "Al", "Al", "Ni"], "frac_coords": [[0.0000, 0.0000, 0.0000], [0.0000, 0.0000, 0.5000], [0.0000, 0.5000, 0.0000], [0.5000, 0.0000, 0.0000], [0.5000, 0.5000, 0.5000]]}



So which one wins? Going from most stable to least: entry w, entry x, entry y.



Entry w
{"formula": "Li2Al2Ni", "functional": "GGA-PBE", "state": "relaxed", "lattice_angstrom": [[-1.5911, 1.5911, 7.0404], [1.5911, -1.5911, 7.0404], [1.5911, 1.5911, -7.0404]], "species": ["Li", "Li", "Al", "Al", "Ni"], "frac_coords": [[0.2500, 0.7500, 0.5000], [0.7500, 0.2500, 0.5000], [0.0928, 0.0928, 0.0000], [0.9072, 0.9072, 0.0000], [0.5000, 0.5000, 0.0000]]}



Entry x
{"formula": "Li2Al2Ni", "functional": "GGA-PBE", "state": "relaxed", "lattice_angstrom": [[6.1429, 0.0000, 0.0000], [0.0000, 6.1429, 0.0000], [0.0000, 0.0000, 4.4506]], "species": ["Li", "Li", "Li", "Li", "Al", "Al", "Al", "Al", "Ni", "Ni"], "frac_coords": [[0.1679, 0.3321, 0.0000], [0.3321, 0.8321, 0.0000], [0.6679, 0.1679, 0.0000], [0.8321, 0.6679, 0.0000], [0.1554, 0.6554, 0.5000], [0.3446, 0.1554, 0.5000], [0.6554, 0.8446, 0.5000], [0.8446, 0.3446, 0.5000], [0.0000, 0.0000, 0.5000], [0.5000, 0.5000, 0.5000]]}



So which one wins? Going from most stable to least: entry x, entry w.



Entry w
{"formula": "Li2AlNi2", "functional": "GGA-PBE", "state": "relaxed", "lattice_angstrom": [[6.5407, 0.0000, 0.0000], [0.0000, 6.5407, 0.0000], [0.0000, 0.0000, 2.7169]], "species": ["Li", "Li", "Li", "Li", "Al", "Al", "Ni", "Ni", "Ni", "Ni"], "frac_coords": [[0.1133, 0.3867, 0.0000], [0.3867, 0.8867, 0.0000], [0.6133, 0.1133, 0.0000], [0.8867, 0.6133, 0.0000], [0.0000, 0.0000, 0.0000], [0.5000, 0.5000, 0.0000], [0.1904, 0.6904, 0.5000], [0.3096, 0.1904, 0.5000], [0.6904, 0.8096, 0.5000], [0.8096, 0.3096, 0.5000]]}



Entry x
{"formula": "Li2AlNi2", "functional": "GGA-PBE", "state": "relaxed", "lattice_angstrom": [[3.4862, -2.0029, 0.0000], [3.4862, 2.0029, 0.0000], [-2.3366, 0.0000, 4.3446]], "species": ["Li", "Li", "Al", "Ni", "Ni"], "frac_coords": [[0.2011, 0.2011, 0.1037], [0.7989, 0.7989, 0.8963], [0.0000, 0.0000, 0.5000], [0.3962, 0.3962, 0.6892], [0.6038, 0.6038, 0.3108]]}



Entry y
{"formula": "Li2AlNi2", "functional": "GGA-PBE", "state": "relaxed", "lattice_angstrom": [[5.9554, 0.0000, 0.0000], [0.0000, 5.9554, 0.0000], [0.0000, 0.0000, 3.9761]], "species": ["Li", "Li", "Li", "Li", "Al", "Al", "Ni", "Ni", "Ni", "Ni"], "frac_coords": [[0.1665, 0.3335, 0.0000], [0.3335, 0.8335, 0.0000], [0.6665, 0.1665, 0.0000], [0.8335, 0.6665, 0.0000], [0.0000, 0.0000, 0.5000], [0.5000, 0.5000, 0.5000], [0.1353, 0.6353, 0.5000], [0.3647, 0.1353, 0.5000], [0.6353, 0.8647, 0.5000], [0.8647, 0.3647, 0.5000]]}



So which one wins? Going from most stable to least: entry x, entry y, entry w.



Entry w
{"formula": "LiAl3O", "functional": "GGA-PBE", "state": "relaxed", "lattice_angstrom": [[4.2694, 0.0000, 0.0000], [0.0000, 4.2694, 0.0000], [0.0000, 0.0000, 4.2694]], "species": ["Li", "Al", "Al", "Al", "O"], "frac_coords": [[0.0000, 0.0000, 0.0000], [0.0000, 0.5000, 0.5000], [0.5000, 0.0000, 0.5000], [0.5000, 0.5000, 0.0000], [0.5000, 0.5000, 0.5000]]}



Entry x
{"formula": "LiAl3O", "functional": "GGA-PBE", "state": "relaxed", "lattice_angstrom": [[4.3306, 0.0000, 0.0000], [0.0000, 4.3306, 0.0000], [0.0000, 0.0000, 4.3306]], "species": ["Li", "Al", "Al", "Al", "O"], "frac_coords": [[0.0000, 0.0000, 0.0000], [0.0000, 0.0000, 0.5000], [0.0000, 0.5000, 0.0000], [0.5000, 0.0000, 0.0000], [0.5000, 0.5000, 0.5000]]}



So which one wins? Going from most stable to least: entry w, entry x.